DFT (PBE) results for Ac5DyRh4 after structural relaxation.

Cell: 4.3012 8.2747 9.4236 Å, 104.33 103.19 90.00°
Closest atoms and distances in Å follow each position.
Positions (direct):
Rh 0.3314 0.8972 0.6629  5 Ac 2.89-2.99, 1 Dy 2.99
Rh 0.9992 0.2465 0.9984  4 Ac 2.90-3.00, 2 Dy 2.97
Rh 0.6686 0.1028 0.3371  5 Ac 2.89-2.99, 1 Dy 2.99
Rh 0.0008 0.7535 0.0016  4 Ac 2.90-3.00, 2 Dy 2.97
Dy 0.5000 0.0000 0.0000  6 Rh 2.97-2.99
Ac 0.8348 0.1506 0.6696  4 Rh 2.92-2.99
Ac 0.5000 0.5000 0.0000  4 Rh 3.00
Ac 0.1652 0.8494 0.3304  4 Rh 2.92-2.99
Ac 0.8377 0.6674 0.6753  3 Rh 2.89-2.90
Ac 0.1623 0.3326 0.3247  3 Rh 2.89-2.90

Output
VASP energy	-60.569	eV for the cell shown
energy of formation from the pure elements	-6.0	eV per formula unit

DFT (PBE) results for Pm6Co2Bi after structural relaxation.

Cell: 5.0183 5.7464 9.6612 Å, 80.95 90.00 115.89°
Closest atoms and distances in Å follow each position.
Positions (direct):
Pm 0.2861 0.5722 0.8590  1 Co 2.67
Pm 0.6632 0.3264 0.6254  1 Co 2.73
Pm 0.7139 0.4278 0.1410  1 Co 2.67
Pm 0.3368 0.6736 0.3746  1 Co 2.73
Pm 0.9747 0.9493 0.8412  2 Co 2.97, 4 Pm 3.16-3.25, 1 Bi 3.26
Pm 0.0253 0.0507 0.1588  2 Co 2.97, 4 Pm 3.16-3.25, 1 Bi 3.26
Co 0.3972 0.7945 0.0885  1 Co 2.48, 2 Pm 2.67-2.73
Co 0.6028 0.2055 0.9115  1 Co 2.48, 2 Pm 2.67-2.73
Bi 0.0000 0.0000 0.5000  8 Pm 3.26-3.48

Output
VASP energy	-48.102	eV for the cell shown
energy of formation from the pure elements	-1.5	eV per formula unit

DFT (PBE) results for Be2TcPt after structural relaxation.

Cell: 4.9503 4.9503 4.9503 Å, 147.37 133.85 57.66°
Closest atoms and distances in Å follow each position.
Positions (direct):
Tc 0.2499 0.7499 0.5000  4 Be 2.39
Be 0.9785 0.9785 0.0000  2 Be 2.39, 4 Pt 2.41
Be 0.7550 0.2550 0.5000  2 Be 2.39, 4 Tc 2.39, 2 Pt 2.49
Pt 0.5166 0.5166 0.0000  6 Be 2.41-2.49

Output
VASP energy	-24.715	eV for the cell shown
energy of formation from the pure elements	-0.9	eV per formula unit

DFT (PBE) results for Pa5Sb4As after structural relaxation.

Cell: 4.3079 4.3081 15.5403 Å, 97.97 97.97 90.00°
Closest atoms and distances in Å follow each position.
Positions (direct):
As 0.0000 0.0000 0.0000  6 Pa 2.85-3.05
Sb 0.3986 0.3986 0.7972  6 Pa 3.06-3.10
Sb 0.8044 0.8044 0.6087  6 Pa 3.05-3.11
Sb 0.1956 0.1956 0.3913  6 Pa 3.05-3.11
Sb 0.6014 0.6014 0.2028  6 Pa 3.06-3.10
Pa 0.5000 0.5000 0.0000  4 As 3.05, 2 Sb 3.09
Pa 0.9064 0.9064 0.8127  1 As 2.85, 5 Sb 3.06-3.11
Pa 0.0936 0.0936 0.1873  1 As 2.85, 5 Sb 3.06-3.11
Pa 0.2970 0.2970 0.5940  6 Sb 3.05-3.10
Pa 0.7030 0.7030 0.4060  6 Sb 3.05-3.10

Output
VASP energy	-73.961	eV for the cell shown

DFT (PBE) results for TaZn2FeCo after structural relaxation.

Cell: 4.9506 4.3427 4.9506 Å, 90.00 90.00 90.00°
Closest atoms and distances in Å follow each position.
Positions (direct):
Zn 0.5000 0.0000 0.0000  2 Ta 2.48
Zn 0.0000 0.0000 0.5000  2 Ta 2.48
Co 0.0000 0.5000 0.0000  2 Ta 2.17
Fe 0.5000 0.5000 0.5000  8 Zn 3.29, 4 Co 3.50
Ta 0.0000 0.0000 0.0000  2 Co 2.17

Output
VASP energy	-22.044	eV for the cell shown
energy of formation from the pure elements	7.9	eV per formula unit

DFT (PBE) results for Li2PaGeS4 after structural relaxation.

Cell: 3.8586 6.8626 6.4951 Å, 109.99 90.00 90.00°
Closest atoms and distances in Å follow each position.
Positions (direct):
Li 0.5000 0.0000 0.5000  6 S 2.70-2.80
Li 0.0000 0.5000 0.5000  6 S 2.71-2.75
S 0.0000 0.7556 0.2524  3 Li 2.70-2.75, 1 Ge 2.72, 2 Pa 2.74
S 0.5000 0.7436 0.7547  1 Pa 2.68, 3 Li 2.71-2.80, 2 Ge 2.73
S 0.5000 0.2564 0.2453  1 Pa 2.68, 3 Li 2.71-2.80, 2 Ge 2.73
S 0.0000 0.2444 0.7476  3 Li 2.70-2.75, 1 Ge 2.72, 2 Pa 2.74
Pa 0.5000 0.5000 0.0000  6 S 2.68-2.74
Ge 0.0000 0.0000 0.0000  6 S 2.72-2.73

Output
VASP energy	-43.645	eV for the cell shown

DFT (PBE) results for Ca2AlPd3 after structural relaxation.

Cell: 4.2528 5.4298 6.6393 Å, 114.14 108.68 90.00°
Closest atoms and distances in Å follow each position.
Positions (direct):
Pd 0.0000 0.0000 0.0000  2 Al 2.71, 4 Ca 2.99
Pd 0.3807 0.3807 0.7614  2 Al 2.52, 1 Pd 2.71, 2 Ca 2.81
Pd 0.6193 0.6193 0.2386  2 Al 2.52, 1 Pd 2.71, 2 Ca 2.81
Ca 0.6846 0.1846 0.3693  6 Pd 2.81-3.08
Ca 0.3154 0.8154 0.6307  6 Pd 2.81-3.08
Al 0.0000 0.5000 0.0000  6 Pd 2.52-2.71

Output
VASP energy	-26.414	eV for the cell shown
energy of formation from the pure elements	-3.1	eV per formula unit

DFT (PBE) results for LaB2As after structural relaxation.

Cell: 6.5192 6.5192 5.6176 Å, 54.53 54.53 90.00°
Closest atoms and distances in Å follow each position.
Positions (direct):
B 0.5439 0.1250 0.2500  2 As 2.12
B 0.8750 0.7939 0.7500  2 As 2.12
B 0.3750 0.4561 0.7500  2 As 2.12
B 0.2061 0.6250 0.2500  2 As 2.12
As 0.5000 0.5000 0.0000  4 B 2.12
As 0.2500 0.7500 0.5000  4 B 2.12
La 0.0000 0.0000 0.0000  8 B 2.82-3.11
La 0.7500 0.2500 0.5000  8 B 2.82-3.11

Output
VASP energy	-42.833	eV for the cell shown
energy of formation from the pure elements	1.5	eV per formula unit

DFT (PBE) results for Er2PuNpP4 after structural relaxation.

Cell: 3.9643 6.8746 6.8572 Å, 109.55 90.00 90.00°
Closest atoms and distances in Å follow each position.
Positions (direct):
Pu 0.0000 0.0000 0.0000  6 P 2.80-2.81
P 0.0000 0.7469 0.2482  2 Np 2.79, 3 Er 2.80-2.82, 1 Pu 2.81
P 0.5000 0.2506 0.2474  1 Np 2.79, 2 Pu 2.80, 3 Er 2.81-2.82
P 0.5000 0.7494 0.7526  1 Np 2.79, 2 Pu 2.80, 3 Er 2.81-2.82
P 0.0000 0.2531 0.7518  2 Np 2.79, 3 Er 2.80-2.82, 1 Pu 2.81
Er 0.0000 0.5000 0.5000  6 P 2.80-2.81
Er 0.5000 0.0000 0.5000  6 P 2.82
Np 0.5000 0.5000 0.0000  6 P 2.79

Output
VASP energy	-68.296	eV for the cell shown
energy of formation from the pure elements	-10.3	eV per formula unit

DFT (PBE) results for PaTlInAg after structural relaxation.

Cell: 5.1404 5.1404 5.1404 Å, 60.00 60.00 60.00°
Closest atoms and distances in Å follow each position.
Positions (direct):
Ag 0.0000 0.0000 0.0000  4 Pa 3.15, 4 In 3.15
Tl 0.5000 0.5000 0.5000  4 In 3.15, 4 Pa 3.15
In 0.7500 0.7500 0.7500  4 Ag 3.15, 4 Tl 3.15
Pa 0.2500 0.2500 0.2500  4 Tl 3.15, 4 Ag 3.15

Output
VASP energy	-16.706	eV for the cell shown
energy of formation from the pure elements	0.7	eV per formula unit

DFT (PBE) results for Ca2TlSe after structural relaxation.

Cell: 5.9344 5.9344 5.9344 Å, 138.56 118.46 76.93°
Closest atoms and distances in Å follow each position.
Positions (direct):
Ca 0.4641 0.4641 0.0000  2 Se 2.89
Ca 0.0359 0.0359 0.0000  2 Se 2.89
Se 0.2500 0.7500 0.5000  4 Ca 2.89
Tl 0.7500 0.2500 0.5000  8 Ca 3.39-3.63, 4 Se 3.69

Output
VASP energy	-13.104	eV for the cell shown

DFT (PBE) results for LaHo2In6 after structural relaxation.

Cell: 3.6017 8.6979 8.6980 Å, 120.00 90.00 90.00°
Closest atoms and distances in Å follow each position.
Positions (direct):
Ho 0.0000 0.6667 0.3333  12 In 3.40, 2 Ho 3.60
Ho 0.0000 0.3333 0.6667  12 In 3.40, 2 Ho 3.60
In 0.5000 0.0000 0.6636  3 In 2.85-2.93
In 0.5000 0.3364 0.0000  3 In 2.85-2.93
In 0.5000 0.6636 0.6636  3 In 2.85-2.93
In 0.5000 0.3364 0.3364  3 In 2.85-2.93
In 0.5000 0.6636 0.0000  3 In 2.85-2.93
In 0.5000 0.0000 0.3364  3 In 2.85-2.93
La 0.0000 0.0000 0.0000  12 In 3.44, 2 La 3.60

Output
VASP energy	-34.214	eV for the cell shown
energy of formation from the pure elements	-3.7	eV per formula unit

Please write out number 12 again, unchanged.
DFT (PBE) results for LaHo2In6 after structural relaxation.

Cell: 3.6017 8.6979 8.6980 Å, 120.00 90.00 90.00°
Closest atoms and distances in Å follow each position.
Positions (direct):
Ho 0.0000 0.6667 0.3333  12 In 3.40, 2 Ho 3.60
Ho 0.0000 0.3333 0.6667  12 In 3.40, 2 Ho 3.60
In 0.5000 0.0000 0.6636  3 In 2.85-2.93
In 0.5000 0.3364 0.0000  3 In 2.85-2.93
In 0.5000 0.6636 0.6636  3 In 2.85-2.93
In 0.5000 0.3364 0.3364  3 In 2.85-2.93
In 0.5000 0.6636 0.0000  3 In 2.85-2.93
In 0.5000 0.0000 0.3364  3 In 2.85-2.93
La 0.0000 0.0000 0.0000  12 In 3.44, 2 La 3.60

Output
VASP energy	-34.214	eV for the cell shown
energy of formation from the pure elements	-3.7	eV per formula unit

> The lowest VASP energy belongs to which entry?

Pa5Sb4As

> What is the formula in the third record?

Be2TcPt

> VASP energy of number 9 (Er2PuNpP4)?

-68.296 eV for the cell shown